Record 1
! La3YFe4As4O4, relaxed, DFT PBE+U; values from VASP
! M_tot, Bohr magnetons per cell: 15.36
! Energy, eV/atom: -6.78
! SG: No. 99
&SYSTEM
  ibrav = 0, nat = 16, ntyp = 5
/
ATOMIC_SPECIES
La 138.91 La.upf
Y 88.91 Y.upf
Fe 55.84 Fe.upf
As 74.92 As.upf
O 16.00 O.upf
ATOMIC_POSITIONS crystal
La 0.0000 0.0000 0.0000
La 0.0000 0.0000 0.4954
La 0.5000 0.5000 0.8676
Y 0.5000 0.5000 0.3736
Fe 0.0000 0.5000 0.1880
Fe 0.0000 0.5000 0.6803
Fe 0.5000 0.0000 0.1880
Fe 0.5000 0.0000 0.6803
As 0.0000 0.0000 0.2750
As 0.0000 0.0000 0.7674
As 0.5000 0.5000 0.0992
As 0.5000 0.5000 0.5924
O 0.0000 0.5000 0.4285
O 0.0000 0.5000 0.9334
O 0.5000 0.0000 0.4285
O 0.5000 0.0000 0.9334
CELL_PARAMETERS angstrom
4.1180 0.0000 0.0000
0.0000 4.1180 0.0000
0.0000 0.0000 18.2414

Record 2
! LaYFe2As2O2, relaxed, DFT PBE+U; values from VASP
! M_tot, Bohr magnetons per cell: 7.60
! Energy, eV/atom: -6.85
! SG: No. 99
&SYSTEM
  ibrav = 0, nat = 8, ntyp = 5
/
ATOMIC_SPECIES
La 138.91 La.upf
Y 88.91 Y.upf
Fe 55.84 Fe.upf
As 74.92 As.upf
O 16.00 O.upf
ATOMIC_POSITIONS crystal
La 0.0000 0.0000 0.0000
Y 0.5000 0.5000 0.7514
Fe 0.0000 0.5000 0.3759
Fe 0.5000 0.0000 0.3759
As 0.0000 0.0000 0.5520
As 0.5000 0.5000 0.1958
O 0.0000 0.5000 0.8632
O 0.5000 0.0000 0.8632
CELL_PARAMETERS angstrom
4.0787 0.0000 0.0000
0.0000 4.0787 0.0000
0.0000 0.0000 9.1011

Record 3
! La3YFe4As4O4, relaxed, DFT PBE+U; values from VASP
! M_tot, Bohr magnetons per cell: 7.66
! Energy, eV/atom: -6.81
! SG: No. 25
&SYSTEM
  ibrav = 0, nat = 16, ntyp = 5
/
ATOMIC_SPECIES
La 138.91 La.upf
Y 88.91 Y.upf
Fe 55.84 Fe.upf
As 74.92 As.upf
O 16.00 O.upf
ATOMIC_POSITIONS crystal
La 0.0000 0.0000 0.0000
La 0.5000 0.2532 0.7351
La 0.5000 0.7468 0.7351
Y 0.0000 0.5000 0.9829
Fe 0.0000 0.2548 0.3625
Fe 0.0000 0.7452 0.3625
Fe 0.5000 0.0000 0.3533
Fe 0.5000 0.5000 0.3669
As 0.0000 0.0000 0.5271
As 0.0000 0.5000 0.5439
As 0.5000 0.2541 0.1896
As 0.5000 0.7459 0.1896
O 0.0000 0.2553 0.8691
O 0.0000 0.7447 0.8691
O 0.5000 0.0000 0.8643
O 0.5000 0.5000 0.8747
CELL_PARAMETERS angstrom
4.1231 0.0000 0.0000
0.0000 8.2366 0.0000
0.0000 0.0000 9.0457